DFT (PBE) results for crystalline RbNb3S5 at its relaxed geometry. Values from VASP.

Output
The size of the total moment comes out at 0.3 μB per formula unit.

The structure in Quantum ESPRESSO input format:
```
&SYSTEM
  ibrav = 0, nat = 9, ntyp = 3
/
ATOMIC_SPECIES
S 32.06 S.upf
Nb 92.91 Nb.upf
Rb 85.47 Rb.upf
ATOMIC_POSITIONS crystal
S 0.000 0.000 0.500
Nb 0.500 0.500 0.500
Nb 0.500 0.000 0.500
Nb 0.000 0.500 0.500
Rb 0.000 0.000 0.000
S 0.333 0.667 0.753
S 0.667 0.333 0.247
S 0.333 0.667 0.247
S 0.667 0.333 0.753
CELL_PARAMETERS angstrom
5.722 0.000 0.000
-2.861 4.956 0.000
0.000 0.000 7.483
```

DFT (PBE) results for crystalline Rb3NbS at its relaxed geometry. Values from VASP.

Output
The size of the total moment comes out at 4.3 μB per formula unit.

The structure in Quantum ESPRESSO input format:
```
&SYSTEM
  ibrav = 0, nat = 10, ntyp = 3
/
ATOMIC_SPECIES
Rb 85.47 Rb.upf
Nb 92.91 Nb.upf
S 32.06 S.upf
ATOMIC_POSITIONS crystal
Rb 0.500 0.702 0.702
Rb 0.500 0.941 0.941
Rb 0.000 0.441 0.441
Nb 0.000 0.869 0.869
S 0.500 0.621 0.621
S 0.500 0.382 0.382
Rb 0.500 0.301 0.301
Nb 0.000 0.134 0.134
Rb 0.000 0.563 0.563
Rb 0.500 0.062 0.062
CELL_PARAMETERS angstrom
4.690 0.000 0.000
0.000 2.383 19.226
0.000 -2.383 19.226
```

| no. | electronic total energy (eV for the cell shown) | theoretical density (g/cm³) |
| --- | --- | --- |
| 1 | -59.7 | 4.1 |
| 2 | -27.7 | 2.9 |